Record 1
DFT (PBE-GGA) results for a geometry-optimized MgAsSeBr2 structure.

Lattice parameters (Å, degrees): 4.9911 4.9911 5.5389 90.00 90.00 90.00
Last column: magnetic moment on the atom in μB.
Fractional coordinates of all 5 atoms:
Mg 0.0000 0.0000 0.0000  0.00
As 0.5000 0.5000 0.5000  0.67
Se 0.0000 0.0000 0.5000  -0.26
Br 0.0000 0.5000 0.0000  0.00
Br 0.5000 0.0000 0.0000  0.00

## Properties
DOS at the Fermi energy   2.13 states/eV/f.u.
SG   No. 123
Energy relative to the elements, uncorrected   -0.077 eV per atom
Density   4.07 Mg/m³
Distance to the lowest polymorph of the same formula   0 meV per atom
Total moment   0.198 μB/atom

Record 2
DFT (PBE-GGA) results for a geometry-optimized MgAsSeBr2 structure.

Lattice parameters (Å, degrees): 5.3334 5.3334 5.2137 90.00 90.00 90.00
Fractional coordinates of all 5 atoms:
Mg 0.5000 0.5000 0.5000
As 0.0000 0.0000 0.5000
Se 0.0000 0.0000 0.0000
Br 0.0000 0.5000 0.0000
Br 0.5000 0.0000 0.0000

## Properties
DOS at the Fermi energy   4.31 states/eV/f.u.
SG   No. 123
Energy relative to the elements, uncorrected   0.279 eV per atom
Density   3.78 Mg/m³
Distance to the lowest polymorph of the same formula   356 meV per atom
Total moment   0.000 μB/atom